! MgV2SeS, relaxed, DFT PBE-GGA; values from VASP
! * total DFT energy (no corrections): -21.2 eV per cell
! * calculated volume: 24.1 Å³ per atom
! * raw formation energy: 1251 meV per atom
&SYSTEM
  ibrav = 0, nat = 5, ntyp = 4
/
ATOMIC_SPECIES
Mg 24.30 Mg.upf
V 50.94 V.upf
Se 78.96 Se.upf
S 32.06 S.upf
ATOMIC_POSITIONS angstrom
Mg 0.000 0.000 0.000
V 0.000 2.577 0.000
V 2.577 0.000 0.000
Se 0.000 0.000 2.264
S 2.577 2.577 2.264
CELL_PARAMETERS angstrom
5.155 0.000 0.000
0.000 5.155 0.000
0.000 0.000 4.528


! MgZnSeS, relaxed, DFT PBE-GGA; values from VASP
! * total DFT energy (no corrections): -14.7 eV per cell
! * calculated volume: 23.4 Å³ per atom
! * raw formation energy: -1053 meV per atom
&SYSTEM
  ibrav = 0, nat = 4, ntyp = 4
/
ATOMIC_SPECIES
Mg 24.30 Mg.upf
Zn 65.41 Zn.upf
Se 78.96 Se.upf
S 32.06 S.upf
ATOMIC_POSITIONS angstrom
Mg 0.000 0.000 0.000
Zn 0.000 0.000 10.057
Se 0.000 0.000 2.608
S 0.000 0.000 12.419
CELL_PARAMETERS angstrom
2.024 1.169 6.595
-2.024 1.169 6.595
0.000 -2.337 6.595


! Mg2ZnSeS2, relaxed, DFT PBE-GGA; values from VASP
! * total DFT energy (no corrections): -46.4 eV per cell
! * calculated volume: 23.3 Å³ per atom
! * raw formation energy: -1166 meV per atom
&SYSTEM
  ibrav = 0, nat = 12, ntyp = 4
/
ATOMIC_SPECIES
Mg 24.30 Mg.upf
Zn 65.41 Zn.upf
Se 78.96 Se.upf
S 32.06 S.upf
ATOMIC_POSITIONS angstrom
Mg 2.066 1.143 0.000
Mg 2.066 -1.143 3.290
Mg 10.024 1.143 0.000
Mg 10.024 -1.143 3.290
Zn 6.045 1.235 6.476
Zn 6.045 -1.235 3.186
Se 6.045 1.113 2.379
Se 6.045 -1.113 5.669
S 4.069 2.331 5.763
S 8.021 2.331 5.763
S 4.069 -2.331 2.473
S 8.021 -2.331 2.473
CELL_PARAMETERS angstrom
6.045 -3.515 0.000
6.045 3.515 0.000
0.000 0.000 6.580